Material: Li3Hg
Method: DFT, GGA-PBE
State: optimized geometry

abc: 4.777 4.777 4.777
angles: 127.46 127.46 77.50
Element x y z (fractional)
1 Li 0.000 0.000 0.000
2 Li 0.250 0.750 0.500
3 Li 0.750 0.250 0.500
4 Hg 0.500 0.500 0.000

* symmetry: I4/mmm
* E above lowest polymorph: 0.003 eV/atom